# 1
{"formula": "Sr3AgSn6", "functional": "GGA-PBE", "state": "relaxed", "lattice": [[6.934, 4.003, 2.248], [-6.934, 4.003, 2.248], [0.000, -8.006, 2.248]], "species": ["Sr", "Sr", "Sr", "Ag", "Sn", "Sn", "Sn", "Sn", "Sn", "Sn"], "frac_coords": [[0.000, 0.500, 0.500], [0.500, 0.000, 0.500], [0.500, 0.500, 0.000], [0.000, 0.000, 0.000], [0.223, 0.223, 0.462], [0.223, 0.462, 0.223], [0.462, 0.223, 0.223], [0.538, 0.777, 0.777], [0.777, 0.538, 0.777], [0.777, 0.777, 0.538]]}

***

# 2
{"formula": "SrAgSn", "functional": "GGA-PBE", "state": "relaxed", "lattice": [[6.293, -2.364, 0.000], [6.293, 2.364, 0.000], [-0.727, 0.000, 5.836]], "species": ["Sr", "Sr", "Ag", "Ag", "Sn", "Sn"], "frac_coords": [[0.113, 0.113, 0.316], [0.887, 0.887, 0.684], [0.216, 0.216, 0.854], [0.784, 0.784, 0.146], [0.412, 0.412, 0.183], [0.588, 0.588, 0.817]]}

***

# 3
{"formula": "Sr3Ag3Sn", "functional": "GGA-PBE", "state": "relaxed", "polymorph_energy_mev_per_atom": 51, "lattice": [[10.027, 0.000, 0.000], [-5.014, 8.684, 0.000], [0.000, 0.000, 5.019]], "species": ["Sr", "Sr", "Sr", "Sr", "Sr", "Sr", "Ag", "Ag", "Ag", "Ag", "Ag", "Ag", "Sn", "Sn"], "frac_coords": [[0.101, 0.678, 0.250], [0.322, 0.423, 0.250], [0.423, 0.101, 0.750], [0.577, 0.899, 0.250], [0.678, 0.577, 0.750], [0.899, 0.322, 0.750], [0.043, 0.860, 0.750], [0.140, 0.183, 0.750], [0.183, 0.043, 0.250], [0.817, 0.957, 0.750], [0.860, 0.817, 0.250], [0.957, 0.140, 0.250], [0.333, 0.667, 0.750], [0.667, 0.333, 0.250]]}

***

# 4
{"formula": "SrAg6Sn4", "functional": "GGA-PBE", "state": "relaxed", "lattice": [[-3.609, 3.609, 5.190], [3.609, -3.609, 5.190], [3.609, 3.609, -5.190]], "species": ["Sr", "Ag", "Ag", "Ag", "Ag", "Ag", "Ag", "Sn", "Sn", "Sn", "Sn"], "frac_coords": [[0.000, 0.000, 0.000], [0.000, 0.500, 0.500], [0.249, 0.583, 0.000], [0.417, 0.417, 0.667], [0.500, 0.000, 0.500], [0.583, 0.249, 0.000], [0.751, 0.751, 0.333], [0.108, 0.108, 0.593], [0.485, 0.892, 0.000], [0.515, 0.515, 0.407], [0.892, 0.485, 0.000]]}

***

# 5
{"formula": "Sr6Ag5Sn", "functional": "GGA-PBE", "state": "relaxed", "lattice": [[5.549, 0.000, 0.000], [0.000, 8.029, 0.000], [-2.744, 0.000, 8.341]], "species": ["Sr", "Sr", "Sr", "Sr", "Sr", "Sr", "Ag", "Ag", "Ag", "Ag", "Ag", "Sn"], "frac_coords": [[0.000, 0.248, 0.000], [0.000, 0.752, 0.000], [0.334, 0.251, 0.667], [0.334, 0.749, 0.667], [0.666, 0.251, 0.333], [0.666, 0.749, 0.333], [0.165, 0.500, 0.333], [0.166, 0.000, 0.334], [0.500, 0.000, 0.000], [0.834, 0.000, 0.666], [0.835, 0.500, 0.667], [0.500, 0.500, 0.000]]}

***

# 6
{"formula": "Sr2Ag5Sn3", "functional": "GGA-PBE", "state": "relaxed", "polymorph_energy_mev_per_atom": 86, "lattice": [[4.846, 0.000, 0.000], [0.000, 4.846, 0.000], [0.000, 0.000, 11.355]], "species": ["Sr", "Sr", "Ag", "Ag", "Ag", "Ag", "Ag", "Sn", "Sn", "Sn"], "frac_coords": [[0.000, 0.500, 0.227], [0.500, 0.000, 0.773], [0.000, 0.000, 0.000], [0.000, 0.000, 0.500], [0.000, 0.500, 0.885], [0.500, 0.000, 0.115], [0.500, 0.500, 0.000], [0.000, 0.500, 0.648], [0.500, 0.000, 0.352], [0.500, 0.500, 0.500]]}

***

# 7
{"formula": "Sr3Ag2Sn4", "functional": "GGA-PBE", "state": "relaxed", "polymorph_energy_mev_per_atom": 14, "lattice": [[6.172, -2.424, 0.000], [6.172, 2.424, 0.000], [-2.508, 0.000, 9.115]], "species": ["Sr", "Sr", "Sr", "Ag", "Ag", "Sn", "Sn", "Sn", "Sn"], "frac_coords": [[0.000, 0.000, 0.000], [0.332, 0.332, 0.335], [0.668, 0.668, 0.665], [0.394, 0.394, 0.721], [0.606, 0.606, 0.279], [0.064, 0.064, 0.396], [0.304, 0.304, 0.962], [0.696, 0.696, 0.038], [0.936, 0.936, 0.604]]}

***

# 8
{"formula": "Sr3Ag3Sn", "functional": "GGA-PBE", "state": "relaxed", "polymorph_energy_mev_per_atom": 0, "lattice": [[5.934, -2.393, 0.000], [5.934, 2.393, 0.000], [-5.566, 0.000, 15.205]], "species": ["Sr", "Sr", "Sr", "Sr", "Sr", "Sr", "Ag", "Ag", "Ag", "Ag", "Ag", "Ag", "Sn", "Sn"], "frac_coords": [[0.040, 0.040, 0.389], [0.105, 0.105, 0.923], [0.252, 0.252, 0.231], [0.748, 0.748, 0.769], [0.895, 0.895, 0.077], [0.960, 0.960, 0.611], [0.367, 0.367, 0.460], [0.393, 0.393, 0.924], [0.461, 0.461, 0.770], [0.539, 0.539, 0.230], [0.607, 0.607, 0.076], [0.633, 0.633, 0.540], [0.252, 0.252, 0.612], [0.748, 0.748, 0.388]]}

***

# 9
{"formula": "SrAgSn2", "functional": "GGA-PBE", "state": "relaxed", "lattice": [[2.302, 1.329, 8.631], [-2.302, 1.329, 8.631], [0.000, -2.658, 8.631]], "species": ["Sr", "Ag", "Sn", "Sn"], "frac_coords": [[0.000, 0.000, 0.000], [0.500, 0.500, 0.500], [0.130, 0.130, 0.130], [0.870, 0.870, 0.870]]}

***

# 10
{"formula": "SrAg2Sn2", "functional": "GGA-PBE", "state": "relaxed", "polymorph_energy_mev_per_atom": 241, "lattice": [[8.726, 0.000, 0.000], [0.000, 8.726, 0.000], [0.000, 0.000, 3.315]], "species": ["Sr", "Sr", "Ag", "Ag", "Ag", "Ag", "Sn", "Sn", "Sn", "Sn"], "frac_coords": [[0.000, 0.000, 0.000], [0.500, 0.500, 0.000], [0.152, 0.348, 0.500], [0.348, 0.848, 0.500], [0.652, 0.152, 0.500], [0.848, 0.652, 0.500], [0.142, 0.642, 0.000], [0.358, 0.142, 0.000], [0.642, 0.858, 0.000], [0.858, 0.358, 0.000]]}

***

# 11
{"formula": "Sr3AgSn", "functional": "GGA-PBE", "state": "relaxed", "polymorph_energy_mev_per_atom": 266, "lattice": [[5.941, 0.000, 0.000], [0.000, 5.941, 0.000], [0.000, 0.000, 5.941]], "species": ["Sr", "Sr", "Sr", "Ag", "Sn"], "frac_coords": [[0.000, 0.000, 0.500], [0.000, 0.500, 0.000], [0.500, 0.000, 0.000], [0.000, 0.000, 0.000], [0.500, 0.500, 0.500]]}

***

# 12
{"formula": "SrAgSn4", "functional": "GGA-PBE", "state": "relaxed", "lattice": [[4.078, 0.000, 0.000], [0.141, 4.084, 0.000], [0.114, 0.138, 10.017]], "species": ["Sr", "Ag", "Sn", "Sn", "Sn", "Sn"], "frac_coords": [[0.000, 0.000, 0.000], [0.500, 0.500, 0.500], [0.016, 0.020, 0.650], [0.487, 0.485, 0.215], [0.513, 0.515, 0.785], [0.984, 0.980, 0.350]]}

***

| no. | E_form (eV/atom) | DFT total energy (eV/atom) |
| --- | --- | --- |
| 1 | -0.202 | -3.394 |
| 2 | -0.413 | -3.258 |
| 3 | -0.314 | -2.828 |
| 4 | -0.045 | -3.209 |
| 5 | -0.339 | -2.702 |
| 6 | -0.218 | -3.180 |
| 7 | -0.497 | -3.471 |
| 8 | -0.365 | -2.879 |
| 9 | 0.081 | -3.053 |
| 10 | -0.112 | -3.190 |
| 11 | -0.105 | -2.485 |
| 12 | -0.190 | -3.614 |